The following is a DFT calculation (GGA-PBE) of a relaxed structure of NbPd2Cl.

Output
energy relative to the elements, uncorrected: 0.549 eV/f.u.
uncorrected energy: -5.44 eV per atom
distance to the lowest polymorph of the same formula: 0.000 eV per atom
crystal system: tetragonal

a = 7.2698 Å, b = 7.2698 Å, c = 5.3365 Å
α = 90.00°, β = 90.00°, γ = 90.00°
Space group I-42d (No. 122)
Asymmetric unit:
Nb1 0.0000 0.0000 0.0000 [4 per cell]
Pd1 0.2489 0.2500 0.1250 [8 per cell]
Cl1 0.0000 0.0000 0.5000 [4 per cell]